VASP calculation (PBE) on crystalline BaLaPO2 at its relaxed geometry.

The value obtained for the formation energy from raw total energies is -0.851 eV per atom. For the spin magnetization, the calculation gives 0.40 μB per formula unit.

The structure belongs to space group P4/mmm (No. 123); the cell edges are 4.580, 4.580 and 5.853 Å and the angles 90.00°, 90.00° and 90.00°. The inequivalent atoms are Ba at (0.000, 0.000, 0.000), La at (0.500, 0.500, 0.500), P at (0.000, 0.000, 0.500) and O at (0.000, 0.500, 0.000).

***

VASP calculation (PBE) on crystalline Cr2PbC at its relaxed geometry.

The value obtained for the total energy is -7.35 eV per atom. For the spin magnetization, the calculation gives 5.73 μB per formula unit.

The structure belongs to space group I-42d (No. 122); the cell edges are 5.646, 5.646 and 9.226 Å and the angles 90.00°, 90.00° and 90.00°. The inequivalent atoms are Cr at (0.107, 0.250, 0.125), Pb at (0.000, 0.000, 0.500) and C at (0.000, 0.000, 0.000).

***

VASP calculation (PBE) on crystalline KSrZnF6 at its relaxed geometry.

The value obtained for the formation energy from raw total energies is -2.723 eV per atom. For the spin magnetization, the calculation gives 1.03 μB per formula unit.

The structure belongs to space group Imma (No. 74); the cell edges are 7.766, 7.832 and 9.854 Å and the angles 90.00°, 90.00° and 90.00°. The inequivalent atoms are K at (0.000, 0.250, 0.091), Sr at (0.000, 0.000, 0.500), Zn at (0.250, 0.250, 0.750), F at (0.000, 0.250, 0.361), F at (0.000, 0.250, 0.672) and F at (0.209, 0.076, 0.885).

***

VASP calculation (PBE) on crystalline NaLiTlF6 at its relaxed geometry.

The value obtained for the formation energy from raw total energies is -2.028 eV per atom. For the spin magnetization, the calculation gives 1.09 μB per formula unit.

The structure belongs to space group P4_2nm (No. 102); the cell edges are 5.030, 5.030 and 10.090 Å and the angles 90.00°, 90.00° and 90.00°. The inequivalent atoms are Na at (0.000, 0.000, 0.000), Li at (0.000, 0.000, 0.331), Tl at (0.000, 0.000, 0.665), F at (0.183, 0.183, 0.493), F at (0.196, 0.196, 0.178) and F at (0.206, 0.206, 0.823).

***

VASP calculation (PBE) on crystalline RbCa3W at its relaxed geometry.

The value obtained for the total energy is -3.10 eV per atom. For the spin magnetization, the calculation gives 0.76 μB per formula unit.

The structure belongs to space group Pm-3m (No. 221); the cell edges are 5.824, 5.824 and 5.824 Å and the angles 90.00°, 90.00° and 90.00°. The inequivalent atoms are Rb at (0.000, 0.000, 0.000), Ca at (0.000, 0.500, 0.500) and W at (0.500, 0.500, 0.500).

***

VASP calculation (PBE) on crystalline TlRe2POs at its relaxed geometry.

The value obtained for the total energy is -7.12 eV per atom. For the spin magnetization, the calculation gives 0.36 μB per formula unit.

The structure belongs to space group P4/mmm (No. 123); the cell edges are 4.898, 4.898 and 4.384 Å and the angles 90.00°, 90.00° and 90.00°. The inequivalent atoms are Tl at (0.000, 0.000, 0.000), Re at (0.000, 0.500, 0.500), P at (0.500, 0.500, 0.000) and Os at (0.500, 0.500, 0.500).